Entry 1:
## K5SmMo4O16 (meta-GGA SCAN)

Data for a crystal of K5SmMo4O16 relaxed with PBEsol.

The calculation puts the formation energy without anion corrections at -2.454 eV per atom. Its final energy is -389.13 eV per cell. The crystal system is monoclinic. As for the calculated volume: 16.56 Å³/atom. The size of the total moment comes out at 0.2 μB/cell.

CIF file:
```
data_K5SmMo4O16
_symmetry_space_group_name_H-M 'P 1 2/m 1'
_symmetry_Int_Tables_number 10
_symmetry_space_group_name_Hall '-P 2y'
_cell_length_a 7.710
_cell_length_b 6.066
_cell_length_c 9.557
_cell_angle_alpha 90.00
_cell_angle_beta 105.61
_cell_angle_gamma 90.00
loop_
_atom_site_label
_atom_site_fract_x
_atom_site_fract_y
_atom_site_fract_z
K1 0.000 0.000 0.000
K2 0.156 0.500 0.712
K3 0.424 0.000 0.813
Sm1 0.500 0.500 0.500
Mo1 0.186 0.000 0.411
Mo2 0.284 0.500 0.094
O1 0.050 0.000 0.653
O2 0.090 0.500 0.155
O3 0.267 0.000 0.260
O4 0.278 0.246 0.509
O5 0.289 0.267 0.986
O6 0.476 0.500 0.253
```



Entry 2:
## SrH2Br2O (meta-GGA SCAN)

Data for a crystal of SrH2Br2O relaxed with PBEsol.

Its final energy is -339.22 eV per cell. The crystal system is orthorhombic. As for the calculated volume: 18.23 Å³/atom. The size of the total moment comes out at 0.0 μB/cell.

CIF file:
```
data_SrH2Br2O
_symmetry_space_group_name_H-M 'P n m a'
_symmetry_Int_Tables_number 62
_symmetry_space_group_name_Hall '-P 2ac 2n'
_cell_length_a 11.175
_cell_length_b 4.239
_cell_length_c 9.239
_cell_angle_alpha 90.00
_cell_angle_beta 90.00
_cell_angle_gamma 90.00
loop_
_atom_site_label
_atom_site_fract_x
_atom_site_fract_y
_atom_site_fract_z
Sr1 0.191 0.250 0.108
H1 0.100 0.250 0.666
H2 0.135 0.250 0.502
Br1 0.103 0.750 0.881
Br2 0.113 0.750 0.338
O1 0.171 0.250 0.600
```



Entry 3:
## ScCrRu2 (meta-GGA SCAN)

Data for a crystal of ScCrRu2 relaxed with PBEsol.

For the formation enthalpy at 0 K, the calculation gives -28 meV per atom. Its final energy is -204.78 eV per cell. The crystal system is orthorhombic. As for the calculated volume: 14.23 Å³/atom. The size of the total moment comes out at 0.0 μB/cell.

CIF file:
```
data_ScCrRu2
_symmetry_space_group_name_H-M 'I m m m'
_symmetry_Int_Tables_number 71
_symmetry_space_group_name_Hall '-I 2 2'
_cell_length_a 2.989
_cell_length_b 4.545
_cell_length_c 8.380
_cell_angle_alpha 90.00
_cell_angle_beta 90.00
_cell_angle_gamma 90.00
loop_
_atom_site_label
_atom_site_fract_x
_atom_site_fract_y
_atom_site_fract_z
Sc1 0.000 0.000 0.000
Cr1 0.000 0.000 0.500
Ru1 0.000 0.500 0.225
```



Entry 4:
## TeOsCl2 (meta-GGA SCAN)

Data for a crystal of TeOsCl2 relaxed with PBEsol.

The calculation puts the formation energy without anion corrections at 0.407 eV per atom. Its final energy is -246.92 eV per cell. The crystal system is orthorhombic. As for the calculated volume: 20.87 Å³/atom. The size of the total moment comes out at 0.0 μB/cell.

CIF file:
```
data_TeOsCl2
_symmetry_space_group_name_H-M 'I m m 2'
_symmetry_Int_Tables_number 44
_symmetry_space_group_name_Hall 'I 2 -2'
_cell_length_a 3.136
_cell_length_b 4.747
_cell_length_c 11.216
_cell_angle_alpha 90.00
_cell_angle_beta 90.00
_cell_angle_gamma 90.00
loop_
_atom_site_label
_atom_site_fract_x
_atom_site_fract_y
_atom_site_fract_z
Te1 0.000 0.000 0.000
Os1 0.000 0.500 0.324
Cl1 0.000 0.000 0.638
Cl2 0.000 0.500 0.816
```



Entry 5:
## BiAsPdW2 (meta-GGA SCAN)

Data for a crystal of BiAsPdW2 relaxed with PBEsol.

For the formation enthalpy at 0 K, the calculation gives 3051 meV per atom. Its final energy is -255.66 eV per cell. The crystal system is tetragonal. As for the calculated volume: 25.87 Å³/atom. The size of the total moment comes out at 3.0 μB/cell.

CIF file:
```
data_BiAsPdW2
_symmetry_space_group_name_H-M 'P 4/m m m'
_symmetry_Int_Tables_number 123
_symmetry_space_group_name_Hall '-P 4 2'
_cell_length_a 5.002
_cell_length_b 5.002
_cell_length_c 5.171
_cell_angle_alpha 90.00
_cell_angle_beta 90.00
_cell_angle_gamma 90.00
loop_
_atom_site_label
_atom_site_fract_x
_atom_site_fract_y
_atom_site_fract_z
Bi1 0.000 0.000 0.000
As1 0.000 0.000 0.500
Pd1 0.500 0.500 0.500
W1 0.000 0.500 0.000
```



Entry 6:
## YTlCl2 (meta-GGA SCAN)

Data for a crystal of YTlCl2 relaxed with PBEsol.

The calculation puts the formation energy without anion corrections at -1.180 eV per atom. Its final energy is -362.64 eV per cell. The crystal system is trigonal. As for the calculated volume: 29.83 Å³/atom. The size of the total moment comes out at 0.0 μB/cell.

CIF file:
```
data_YTlCl2
_symmetry_space_group_name_H-M 'R -3 m'
_symmetry_Int_Tables_number 166
_symmetry_space_group_name_Hall '-R 3 2"'
_cell_length_a 3.7686
_cell_length_b 3.7686
_cell_length_c 29.0990
_cell_angle_alpha 90.00
_cell_angle_beta 90.00
_cell_angle_gamma 120.00
loop_
_atom_site_label
_atom_site_fract_x
_atom_site_fract_y
_atom_site_fract_z
Y1 0.0000 0.0000 0.0000
Tl1 0.0000 0.0000 0.5000
Cl1 0.0000 0.0000 0.0871
```



Entry 7:
## Li2MnCoO4 (meta-GGA SCAN)

Data for a crystal of Li2MnCoO4 relaxed with PBEsol.

The calculation puts the formation energy without anion corrections at -2.039 eV per atom. Its final energy is -163.15 eV per cell. The crystal system is monoclinic. As for the calculated volume: 8.44 Å³/atom. The size of the total moment comes out at 8.0 μB/cell.

CIF file:
```
data_Li2MnCoO4
_symmetry_space_group_name_H-M 'P 1 21/m 1'
_symmetry_Int_Tables_number 11
_symmetry_space_group_name_Hall '-P 2yb'
_cell_length_a 5.120
_cell_length_b 2.810
_cell_length_c 9.459
_cell_angle_alpha 90.00
_cell_angle_beta 97.24
_cell_angle_gamma 90.00
loop_
_atom_site_label
_atom_site_fract_x
_atom_site_fract_y
_atom_site_fract_z
Li1 0.120 0.250 0.122
Li2 0.370 0.750 0.374
Mn1 0.151 0.750 0.633
Co1 0.395 0.250 0.878
O1 0.053 0.250 0.756
O2 0.249 0.250 0.512
O3 0.287 0.750 0.993
O4 0.478 0.250 0.232
```



Entry 8:
## Ga2PPdSe (meta-GGA SCAN)

Data for a crystal of Ga2PPdSe relaxed with PBEsol.

The calculation puts the formation energy without anion corrections at 0.711 eV per atom. Its final energy is -92.39 eV per cell. The crystal system is tetragonal. As for the calculated volume: 22.08 Å³/atom. The size of the total moment comes out at 0.0 μB/cell.

CIF file:
```
data_Ga2PPdSe
_symmetry_space_group_name_H-M 'P 4/m m m'
_symmetry_Int_Tables_number 123
_symmetry_space_group_name_Hall '-P 4 2'
_cell_length_a 4.905
_cell_length_b 4.905
_cell_length_c 4.587
_cell_angle_alpha 90.00
_cell_angle_beta 90.00
_cell_angle_gamma 90.00
loop_
_atom_site_label
_atom_site_fract_x
_atom_site_fract_y
_atom_site_fract_z
Ga1 0.000 0.500 0.000
P1 0.000 0.000 0.500
Pd1 0.500 0.500 0.500
Se1 0.500 0.500 0.000
```



Entry 9:
## SrGeB2Cl (meta-GGA SCAN)

Data for a crystal of SrGeB2Cl relaxed with PBEsol.

The calculation puts the formation energy without anion corrections at 0.323 eV per atom. Its final energy is -62.59 eV per cell. The crystal system is tetragonal. As for the calculated volume: 20.82 Å³/atom. The size of the total moment comes out at 0.0 μB/cell.

CIF file:
```
data_SrGeB2Cl
_symmetry_space_group_name_H-M 'P 4/m m m'
_symmetry_Int_Tables_number 123
_symmetry_space_group_name_Hall '-P 4 2'
_cell_length_a 4.063
_cell_length_b 4.063
_cell_length_c 6.306
_cell_angle_alpha 90.00
_cell_angle_beta 90.00
_cell_angle_gamma 90.00
loop_
_atom_site_label
_atom_site_fract_x
_atom_site_fract_y
_atom_site_fract_z
Sr1 0.000 0.000 0.000
Ge1 0.000 0.000 0.500
B1 0.000 0.500 0.500
Cl1 0.500 0.500 0.000
```



Entry 10:
## CaTeOF2 (meta-GGA SCAN)

Data for a crystal of CaTeOF2 relaxed with PBEsol.

The calculation puts the formation energy without anion corrections at -1.482 eV per atom. Its final energy is -67.64 eV per cell. The crystal system is tetragonal. As for the calculated volume: 18.92 Å³/atom. The size of the total moment comes out at 0.0 μB/cell.

CIF file:
```
data_CaTeOF2
_symmetry_space_group_name_H-M 'P 4/m m m'
_symmetry_Int_Tables_number 123
_symmetry_space_group_name_Hall '-P 4 2'
_cell_length_a 4.780
_cell_length_b 4.780
_cell_length_c 4.141
_cell_angle_alpha 90.00
_cell_angle_beta 90.00
_cell_angle_gamma 90.00
loop_
_atom_site_label
_atom_site_fract_x
_atom_site_fract_y
_atom_site_fract_z
Ca1 0.000 0.000 0.000
Te1 0.500 0.500 0.500
O1 0.500 0.500 0.000
F1 0.000 0.500 0.500
```



Entry 11:
## Na2LiNbSe (meta-GGA SCAN)

Data for a crystal of Na2LiNbSe relaxed with PBEsol.

The calculation puts the formation energy without anion corrections at 0.957 eV per atom. Its final energy is -59.24 eV per cell. The crystal system is tetragonal. As for the calculated volume: 31.94 Å³/atom. The size of the total moment comes out at 5.9 μB/cell.

CIF file:
```
data_Na2LiNbSe
_symmetry_space_group_name_H-M 'P 4/m m m'
_symmetry_Int_Tables_number 123
_symmetry_space_group_name_Hall '-P 4 2'
_cell_length_a 5.615
_cell_length_b 5.615
_cell_length_c 5.066
_cell_angle_alpha 90.00
_cell_angle_beta 90.00
_cell_angle_gamma 90.00
loop_
_atom_site_label
_atom_site_fract_x
_atom_site_fract_y
_atom_site_fract_z
Na1 0.000 0.500 0.000
Li1 0.000 0.000 0.500
Nb1 0.000 0.000 0.000
Se1 0.500 0.500 0.500
```



Entry 12:
## MgCr3Ni (meta-GGA SCAN)

Data for a crystal of MgCr3Ni relaxed with PBEsol.

For the formation enthalpy at 0 K, the calculation gives 813 meV per atom. Its final energy is -72.24 eV per cell. The crystal system is cubic. As for the calculated volume: 18.26 Å³/atom. The size of the total moment comes out at 12.5 μB/cell.

CIF file:
```
data_MgCr3Ni
_symmetry_space_group_name_H-M 'P m -3 m'
_symmetry_Int_Tables_number 221
_symmetry_space_group_name_Hall '-P 4 2 3'
_cell_length_a 4.503
_cell_length_b 4.503
_cell_length_c 4.503
_cell_angle_alpha 90.00
_cell_angle_beta 90.00
_cell_angle_gamma 90.00
loop_
_atom_site_label
_atom_site_fract_x
_atom_site_fract_y
_atom_site_fract_z
Mg1 0.000 0.000 0.000
Cr1 0.000 0.500 0.500
Ni1 0.500 0.500 0.500
```